# 1
DFT (meta-GGA SCAN) results for a PBEsol-optimized structure of Zr2TiGe2.

The formation energy is -873.2 meV per atom. The calculation puts the total energy at -23.994 eV per atom. The size of the total moment comes out at 0.215 μB/atom.

The space group is P4/mbm (No. 127) and the conventional cell measures 6.914, 6.914 and 3.753 Å, with angles of 90.00, 90.00 and 90.00 degrees. Symmetry generates all atoms from Zr at (0.171, 0.329, 0.000), Ti at (0.000, 0.000, 0.500) and Ge at (0.132, 0.632, 0.500).

# 2
DFT (meta-GGA SCAN) results for a PBEsol-optimized structure of Zr3TiGe.

The formation energy is 321.8 meV per atom. The calculation puts the total energy at -25.121 eV per atom. The size of the total moment comes out at 0.414 μB/atom.

The space group is Pm-3m (No. 221) and the conventional cell measures 4.964, 4.964 and 4.964 Å, with angles of 90.00, 90.00 and 90.00 degrees. Symmetry generates all atoms from Zr at (0.000, 0.000, 0.500), Ti at (0.500, 0.500, 0.500) and Ge at (0.000, 0.000, 0.000).

# 3
DFT (meta-GGA SCAN) results for a PBEsol-optimized structure of TlGeW2.

The formation energy is 1082.0 meV per atom. The calculation puts the total energy at -56.624 eV per atom. The size of the total moment comes out at 0.000 μB/atom.

The space group is Fm-3m (No. 225) and the conventional cell measures 6.428, 6.428 and 6.428 Å, with angles of 90.00, 90.00 and 90.00 degrees. Symmetry generates all atoms from Tl at (0.000, 0.000, 0.000), Ge at (0.000, 0.000, 0.500) and W at (0.250, 0.250, 0.250).

# 4
DFT (meta-GGA SCAN) results for a PBEsol-optimized structure of Tl2ZnGe.

The formation energy is 321.6 meV per atom. The calculation puts the total energy at -44.008 eV per atom. The size of the total moment comes out at 0.000 μB/atom.

The space group is Fm-3m (No. 225) and the conventional cell measures 7.143, 7.143 and 7.143 Å, with angles of 90.00, 90.00 and 90.00 degrees. Symmetry generates all atoms from Tl at (0.250, 0.250, 0.250), Zn at (0.000, 0.000, 0.000) and Ge at (0.000, 0.000, 0.500).

# 5
DFT (meta-GGA SCAN) results for a PBEsol-optimized structure of Tl2Zn2Ge.

The formation energy is 453.1 meV per atom. The calculation puts the total energy at -37.714 eV per atom. The size of the total moment comes out at 0.000 μB/atom.

The space group is I4/mmm (No. 139) and the conventional cell measures 4.263, 4.263 and 12.345 Å, with angles of 90.00, 90.00 and 90.00 degrees. Symmetry generates all atoms from Tl at (0.000, 0.500, 0.250), Zn at (0.000, 0.000, 0.094) and Ge at (0.000, 0.000, 0.500).

# 6
DFT (meta-GGA SCAN) results for a PBEsol-optimized structure of TmGe3.

The formation energy is -474.1 meV per atom. The calculation puts the total energy at -27.748 eV per atom. The size of the total moment comes out at 0.000 μB/atom.

The space group is Cmcm (No. 63) and the conventional cell measures 3.955, 20.314 and 3.850 Å, with angles of 90.00, 90.00 and 90.00 degrees. Symmetry generates all atoms from Tm at (0.000, 0.081, 0.250), Ge at (0.000, 0.190, 0.750), Ge at (0.000, 0.312, 0.750) and Ge at (0.000, 0.459, 0.250).

# 7
DFT (meta-GGA SCAN) results for a PBEsol-optimized structure of Tm5Ge3.

The formation energy is -872.1 meV per atom. The calculation puts the total energy at -40.425 eV per atom. The size of the total moment comes out at 0.000 μB/atom.

The space group is P6_3/mcm (No. 193) and the conventional cell measures 8.2664, 8.2664 and 6.1878 Å, with angles of 90.00, 90.00 and 120.00 degrees. Symmetry generates all atoms from Tm at (0.0000, 0.2409, 0.2500), Tm at (0.3333, 0.6667, 0.0000) and Ge at (0.0000, 0.3947, 0.7500).

# 8
DFT (meta-GGA SCAN) results for a PBEsol-optimized structure of TmZnGe.

The formation energy is -683.2 meV per atom. The calculation puts the total energy at -28.828 eV per atom. The size of the total moment comes out at 0.000 μB/atom.

The space group is P6_3/mmc (No. 194) and the conventional cell measures 4.1115, 4.1115 and 7.7004 Å, with angles of 90.00, 90.00 and 120.00 degrees. Symmetry generates all atoms from Tm at (0.0000, 0.0000, 0.0000), Zn at (0.3333, 0.6667, 0.2500) and Ge at (0.3333, 0.6667, 0.7500).

Which value of size of the total moment does entry 6 give? 0.000 μB/atom

What is the size of the total moment in the sixth record? 0.000 μB/atom

Look up the total energy of the sixth one. -27.748 eV per atom

Which of these has the highest size of the total moment? Zr3TiGe